[1]
Zn2Cd2SF6 | PBE | optimized geometry

Output
Total DFT energy (no corrections): -3.73 eV per atom
Volume: 13.788 A^3/atom

Cell lengths 7.5418, 7.5418, 7.5418 Å; angles 60.00, 60.00, 60.00 degrees
Closest atoms and distances in Å follow each position.
Element x y z (fractional)
1 F 0.7002 0.2998 0.7002  2 Zn 2.05
2 F 0.9502 0.9502 0.5498  2 Zn 2.05
3 F 0.9502 0.5498 0.9502  2 Zn 2.05
4 F 0.2998 0.7002 0.7002  2 Zn 2.05
5 F 0.9502 0.5498 0.5498  2 Zn 2.05
6 F 0.5498 0.5498 0.9502  2 Zn 2.05
7 F 0.7002 0.7002 0.2998  2 Zn 2.05
8 F 0.2998 0.7002 0.2998  2 Zn 2.05
9 F 0.5498 0.9502 0.9502  2 Zn 2.05
10 F 0.2998 0.2998 0.7002  2 Zn 2.05
11 F 0.5498 0.9502 0.5498  2 Zn 2.05
12 F 0.7002 0.2998 0.2998  2 Zn 2.05
13 S 0.0000 0.0000 0.0000  4 Cd 2.31
14 S 0.2500 0.2500 0.2500  4 Cd 2.31
15 Cd 0.1250 0.1250 0.1250  2 S 2.31
16 Cd 0.1250 0.6250 0.1250  2 S 2.31
17 Cd 0.1250 0.1250 0.6250  2 S 2.31
18 Cd 0.6250 0.1250 0.1250  2 S 2.31
19 Zn 0.6250 0.1250 0.6250  6 F 2.05
20 Zn 0.6250 0.6250 0.6250  6 F 2.05
21 Zn 0.1250 0.6250 0.6250  6 F 2.05
22 Zn 0.6250 0.6250 0.1250  6 F 2.05

[2]
PmAsNO | PBE | optimized geometry

Output
Total DFT energy (no corrections): -6.85 eV per atom
Volume: 14.554 A^3/atom
Energy relative to the lowest polymorph listed for this composition: 0.32 eV/f.u.

Cell lengths 5.0842, 5.0842, 4.5998 Å; angles 97.96, 97.96, 92.13 degrees
Closest atoms and distances in Å follow each position.
Element x y z (fractional)
1 O 0.8948 0.3177 0.0198  1 As 1.93
2 O 0.3177 0.8948 0.0198  1 As 1.93
3 Pm 0.7079 0.1897 0.4547  4 N 2.46-2.73, 2 O 2.48-2.62
4 Pm 0.1897 0.7079 0.4547  4 N 2.46-2.73, 2 O 2.48-2.62
5 N 0.7316 0.7316 0.5696  1 As 1.84
6 N 0.2130 0.2130 0.5659  1 As 1.79
7 As 0.2575 0.2575 0.9638  1 N 1.79, 2 O 1.93
8 As 0.6877 0.6877 0.9517  1 N 1.84

[3]
ReW | PBE | optimized geometry

Output
Total DFT energy (no corrections): -12.25 eV per atom
Volume: 16.110 A^3/atom
ΔH_f (0 K): 0.4450 eV/atom
Energy relative to the lowest polymorph listed for this composition: 0.69 eV/f.u.

Cell lengths 5.1684, 5.1684, 16.7130 Å; angles 90.00, 90.00, 120.00 degrees
Closest atoms and distances in Å follow each position.
Element x y z (fractional)
1 Re 0.0000 0.0000 0.5949  9 W 2.97-3.03, 7 Re 3.03-3.17
2 Re 0.0000 0.0000 0.9051  9 W 2.97-3.03, 7 Re 3.03-3.17
3 Re 0.0000 0.0000 0.4051  9 W 2.97-3.03, 7 Re 3.03-3.17
4 Re 0.3333 0.6667 0.6550  9 W 2.99-3.03, 7 Re 3.02-3.17
5 Re 0.6667 0.3333 0.1550  9 W 2.99-3.03, 7 Re 3.02-3.17
6 Re 0.0000 0.0000 0.0949  9 W 2.97-3.03, 7 Re 3.03-3.17
7 Re 0.3333 0.6667 0.3743  6 W 2.58
8 Re 0.3333 0.6667 0.8450  9 W 2.99-3.03, 7 Re 3.02-3.17
9 Re 0.6667 0.3333 0.8743  6 W 2.58
10 Re 0.6667 0.3333 0.3450  9 W 2.99-3.03, 7 Re 3.02-3.17
11 Re 0.3333 0.6667 0.1257  6 W 2.58
12 Re 0.6667 0.3333 0.6257  6 W 2.58
13 W 0.5000 0.5000 0.0000  2 Re 2.58, 4 W 2.58
14 W 0.0000 0.5000 0.0000  2 Re 2.58, 4 W 2.58
15 W 0.5000 0.0000 0.5000  2 Re 2.58, 4 W 2.58
16 W 0.1628 0.3256 0.2500  4 W 2.52-2.64, 2 Re 2.58
17 W 0.1628 0.8372 0.2500  4 W 2.52-2.64, 2 Re 2.58
18 W 0.5000 0.5000 0.5000  2 Re 2.58, 4 W 2.58
19 W 0.8372 0.6744 0.7500  4 W 2.52-2.64, 2 Re 2.58
20 W 0.5000 0.0000 0.0000  2 Re 2.58, 4 W 2.58
21 W 0.0000 0.5000 0.5000  2 Re 2.58, 4 W 2.58
22 W 0.8372 0.1628 0.7500  4 W 2.52-2.64, 2 Re 2.58
23 W 0.3256 0.1628 0.7500  4 W 2.52-2.64, 2 Re 2.58
24 W 0.6744 0.8372 0.2500  4 W 2.52-2.64, 2 Re 2.58

[4]
Y3Zr4 | PBE | optimized geometry

Output
Total DFT energy (no corrections): -7.58 eV per atom
Volume: 26.649 A^3/atom
ΔH_f (0 K): 0.0705 eV/atom
Energy relative to the lowest polymorph listed for this composition: 0.04 eV/f.u.

Cell lengths 8.9585, 8.9585, 5.3681 Å; angles 90.00, 90.00, 60.00 degrees
Closest atoms and distances in Å follow each position.
Element x y z (fractional)
1 Y 0.1315 0.2843 0.0000  8 Zr 3.25-3.62, 4 Y 3.40-3.47
2 Y 0.3923 0.0966 0.5000  8 Zr 3.25-3.62, 4 Y 3.40-3.47
3 Y 0.6681 0.6539 0.5000  8 Zr 3.25-3.62, 4 Y 3.40-3.47
4 Y 0.2253 0.8209 0.5000  8 Zr 3.25-3.62, 4 Y 3.40-3.47
5 Y 0.8557 0.7271 0.0000  8 Zr 3.25-3.62, 4 Y 3.40-3.47
6 Y 0.2985 0.5600 0.0000  8 Zr 3.25-3.62, 4 Y 3.40-3.47
7 Zr 0.9866 0.0160 0.0000  7 Zr 3.17-3.47, 4 Y 3.25-3.33
8 Zr 0.0952 0.5238 0.5000  9 Y 3.35-3.40, 3 Zr 3.47
9 Zr 0.9363 0.2408 0.5000  7 Zr 3.17-3.47, 4 Y 3.25-3.33
10 Zr 0.5874 0.1402 0.0000  7 Zr 3.17-3.47, 4 Y 3.25-3.33
11 Zr 0.7116 0.4152 0.0000  7 Zr 3.17-3.47, 4 Y 3.25-3.33
12 Zr 0.8122 0.9657 0.5000  7 Zr 3.17-3.47, 4 Y 3.25-3.33
13 Zr 0.5372 0.3649 0.5000  7 Zr 3.17-3.47, 4 Y 3.25-3.33
14 Zr 0.4286 0.8571 0.0000  9 Y 3.35-3.40, 3 Zr 3.47

[5]
Pm2Ga3Ni | PBE | optimized geometry

Output
Total DFT energy (no corrections): -4.64 eV per atom
Volume: 20.998 A^3/atom

Cell lengths 3.8063, 4.3404, 7.6261 Å; angles 90.00, 90.00, 90.00 degrees
Closest atoms and distances in Å follow each position.
Element x y z (fractional)
1 Pm 0.5000 0.0000 0.4877  8 Ga 3.06-3.26, 4 Ni 3.12
2 Pm 0.5000 0.5000 0.0150  2 Ni 3.07, 10 Ga 3.13-3.33
3 Ni 0.0000 0.5000 0.3317  3 Ga 2.47-2.48
4 Ga 0.0000 0.0000 0.1743  2 Ni 2.48, 1 Ga 2.58
5 Ga 0.0000 0.0000 0.8355  3 Ga 2.57-2.58
6 Ga 0.0000 0.5000 0.6559  1 Ni 2.47, 2 Ga 2.57

[6]
HfSnGe | PBE | optimized geometry

Output
Total DFT energy (no corrections): -6.00 eV per atom
Volume: 25.119 A^3/atom
Energy relative to the lowest polymorph listed for this composition: 0.00 eV/f.u.

Cell lengths 4.7411, 4.7411, 4.7411 Å; angles 60.00, 60.00, 60.00 degrees
Closest atoms and distances in Å follow each position.
Element x y z (fractional)
1 Hf 0.0000 0.0000 0.0000  4 Sn 2.90, 4 Ge 2.90
2 Ge 0.2500 0.2500 0.2500  4 Hf 2.90
3 Sn 0.7500 0.7500 0.7500  4 Hf 2.90

[7]
BaAsPdAu | PBE | optimized geometry

Output
Total DFT energy (no corrections): -3.98 eV per atom
Volume: 23.777 A^3/atom
Energy relative to the lowest polymorph listed for this composition: 0.00 eV/f.u.

Cell lengths 5.1236, 5.1236, 5.1236 Å; angles 60.00, 60.00, 60.00 degrees
Closest atoms and distances in Å follow each position.
Element x y z (fractional)
1 Pd 0.5000 0.5000 0.5000  4 Au 3.14, 4 As 3.14
2 Ba 0.0000 0.0000 0.0000  4 As 3.14, 4 Au 3.14
3 As 0.2500 0.2500 0.2500  4 Ba 3.14, 4 Pd 3.14
4 Au 0.7500 0.7500 0.7500  4 Pd 3.14, 4 Ba 3.14

[8]
PrTlFeS3 | PBE | optimized geometry

Output
Total DFT energy (no corrections): -5.65 eV per atom
Volume: 26.299 A^3/atom

Cell lengths 7.3631, 7.3631, 10.9507 Å; angles 90.00, 90.00, 32.11 degrees
Closest atoms and distances in Å follow each position.
Element x y z (fractional)
1 S 0.3743 0.3743 0.4187  1 Fe 2.30
2 S 0.6257 0.6257 0.5813  1 Fe 2.30
3 S 0.3743 0.3743 0.0813  1 Fe 2.30
4 S 0.6257 0.6257 0.9187  1 Fe 2.30
5 S 0.0590 0.0590 0.2500  2 Fe 2.39
6 S 0.9410 0.9410 0.7500  2 Fe 2.39
7 Fe 0.5295 0.5295 0.7500  4 S 2.30-2.39
8 Fe 0.4705 0.4705 0.2500  4 S 2.30-2.39
9 Tl 0.7483 0.7483 0.2500  6 S 3.28-3.36
10 Tl 0.2517 0.2517 0.7500  6 S 3.28-3.36
11 Pr 0.0000 0.0000 0.0000  6 S 2.85-2.86
12 Pr 0.0000 0.0000 0.5000  6 S 2.85-2.86

[9]
BaZr2 | PBE | optimized geometry

Output
Total DFT energy (no corrections): -4.74 eV per atom
Volume: 29.895 A^3/atom
Energy relative to the lowest polymorph listed for this composition: 3.74 eV/f.u.

Cell lengths 5.0243, 5.0243, 5.0243 Å; angles 60.00, 60.00, 60.00 degrees
Closest atoms and distances in Å follow each position.
Element x y z (fractional)
1 Zr 0.2500 0.2500 0.2500  4 Ba 3.08
2 Zr 0.7500 0.7500 0.7500  4 Ba 3.08
3 Ba 0.0000 0.0000 0.0000  8 Zr 3.08

[10]
ReSnPt2 | PBE | optimized geometry

Output
Total DFT energy (no corrections): -6.89 eV per atom
Volume: 16.716 A^3/atom

Cell lengths 4.5559, 4.5559, 4.5559 Å; angles 60.00, 60.00, 60.00 degrees
Closest atoms and distances in Å follow each position.
Element x y z (fractional)
1 Pt 0.0000 0.0000 0.0000  4 Pt 2.79, 4 Re 2.79
2 Pt 0.7500 0.7500 0.7500  4 Sn 2.79, 4 Pt 2.79
3 Sn 0.5000 0.5000 0.5000  4 Pt 2.79, 4 Re 2.79
4 Re 0.2500 0.2500 0.2500  4 Sn 2.79, 4 Pt 2.79

[11]
Nb4InFeN2 | PBE | optimized geometry

Output
Total DFT energy (no corrections): -8.97 eV per atom
Volume: 14.546 A^3/atom

Cell lengths 3.1201, 3.1201, 13.8022 Å; angles 90.00, 90.00, 120.00 degrees
Closest atoms and distances in Å follow each position.
Element x y z (fractional)
1 Fe 0.0000 0.0000 0.0000  6 Nb 2.69
2 Nb 0.0000 0.0000 0.6778  3 N 2.18
3 Nb 0.0000 0.0000 0.3222  3 N 2.18
4 Nb 0.3333 0.6667 0.8556  3 N 2.18
5 Nb 0.3333 0.6667 0.1444  3 N 2.18
6 N 0.6667 0.3333 0.7669  6 Nb 2.18
7 N 0.6667 0.3333 0.2331  6 Nb 2.18
8 In 0.3333 0.6667 0.5000  6 Nb 3.04, 6 In 3.12

[12]
PmSnBi | PBE | optimized geometry

Output
Total DFT energy (no corrections): -4.49 eV per atom
Volume: 34.687 A^3/atom
Energy relative to the lowest polymorph listed for this composition: 1.34 eV/f.u.

Cell lengths 5.2796, 5.2796, 5.2796 Å; angles 60.00, 60.00, 60.00 degrees
Closest atoms and distances in Å follow each position.
Element x y z (fractional)
1 Bi 0.2500 0.2500 0.2500  4 Sn 3.23
2 Pm 0.7500 0.7500 0.7500  4 Sn 3.23
3 Sn 0.0000 0.0000 0.0000  4 Bi 3.23, 4 Pm 3.23